[1]
# GGA-PBE LaCd12Pt6, optimized geometry
# - calculated formation energy (meV per atom) = -233
# - volume (Å³/atom) = 21.79
# - energy (Ry/atom) = -0.2188
data_LaCd12Pt6
_symmetry_space_group_name_H-M 'P 1'
_symmetry_Int_Tables_number 1
_cell_length_a 7.8142
_cell_length_b 7.8142
_cell_length_c 7.8142
_cell_angle_alpha 105.33
_cell_angle_beta 105.33
_cell_angle_gamma 105.33
loop_
_symmetry_equiv_pos_as_xyz
'x,y,z'
loop_
_atom_site_label
_atom_site_fract_x
_atom_site_fract_y
_atom_site_fract_z
La1 0.0000 0.0000 0.0000
Cd1 0.1146 0.5000 0.8854
Cd2 0.1146 0.8854 0.5000
Cd3 0.1448 0.3991 0.3991
Cd4 0.3991 0.1448 0.3991
Cd5 0.3991 0.3991 0.1448
Cd6 0.5000 0.1146 0.8854
Cd7 0.5000 0.8854 0.1146
Cd8 0.6009 0.6009 0.8552
Cd9 0.6009 0.8552 0.6009
Cd10 0.8552 0.6009 0.6009
Cd11 0.8854 0.1146 0.5000
Cd12 0.8854 0.5000 0.1146
Pt1 0.2758 0.2758 0.7047
Pt2 0.2758 0.7047 0.2758
Pt3 0.2953 0.7242 0.7242
Pt4 0.7047 0.2758 0.2758
Pt5 0.7242 0.2953 0.7242
Pt6 0.7242 0.7242 0.2953

[2]
# GGA-PBE LaCdPt2, optimized geometry
# - calculated formation energy (meV per atom) = -824
# - volume (Å³/atom) = 22.31
# - energy (Ry/atom) = -0.3899
data_LaCdPt2
_symmetry_space_group_name_H-M 'P 1'
_symmetry_Int_Tables_number 1
_cell_length_a 4.2959
_cell_length_b 3.9494
_cell_length_c 10.5220
_cell_angle_alpha 90.00
_cell_angle_beta 90.00
_cell_angle_gamma 90.00
loop_
_symmetry_equiv_pos_as_xyz
'x,y,z'
loop_
_atom_site_label
_atom_site_fract_x
_atom_site_fract_y
_atom_site_fract_z
La1 0.0000 0.0000 0.0000
La2 0.0000 0.5000 0.5000
Cd1 0.5000 0.0000 0.2912
Cd2 0.5000 0.5000 0.7912
Pt1 0.0000 0.0000 0.7309
Pt2 0.0000 0.5000 0.2309
Pt3 0.5000 0.0000 0.5650
Pt4 0.5000 0.5000 0.0650

[3]
# GGA-PBE La4CdPt2, optimized geometry
# - calculated formation energy (meV per atom) = -682
# - volume (Å³/atom) = 32.83
# - energy (Ry/atom) = -0.3935
data_La4CdPt2
_symmetry_space_group_name_H-M 'P 1'
_symmetry_Int_Tables_number 1
_cell_length_a 8.4006
_cell_length_b 8.4006
_cell_length_c 9.7773
_cell_angle_alpha 125.30
_cell_angle_beta 125.30
_cell_angle_gamma 69.80
loop_
_symmetry_equiv_pos_as_xyz
'x,y,z'
loop_
_atom_site_label
_atom_site_fract_x
_atom_site_fract_y
_atom_site_fract_z
La1 0.0007 0.0007 0.3182
La2 0.4203 0.5772 0.1813
La3 0.4228 0.5797 0.8187
La4 0.4890 0.1461 0.3191
La5 0.5674 0.0675 0.8181
La6 0.8539 0.5110 0.6809
La7 0.9325 0.4326 0.1819
La8 0.9993 0.9993 0.6818
Cd1 0.0860 0.9140 0.0000
Cd2 0.3355 0.6645 0.5000
Pt1 0.2107 0.2894 0.7498
Pt2 0.7103 0.2887 0.2495
Pt3 0.7113 0.2897 0.7505
Pt4 0.7106 0.7893 0.2502

[4]
# GGA-PBE LaCd9Pt2, optimized geometry
# - calculated formation energy (meV per atom) = -283
# - volume (Å³/atom) = 21.84
# - energy (Ry/atom) = -0.1754
data_LaCd9Pt2
_symmetry_space_group_name_H-M 'P 1'
_symmetry_Int_Tables_number 1
_cell_length_a 9.1378
_cell_length_b 9.1378
_cell_length_c 9.1378
_cell_angle_alpha 99.91
_cell_angle_beta 99.91
_cell_angle_gamma 130.98
loop_
_symmetry_equiv_pos_as_xyz
'x,y,z'
loop_
_atom_site_label
_atom_site_fract_x
_atom_site_fract_y
_atom_site_fract_z
La1 0.3750 0.6250 0.7500
La2 0.6250 0.3750 0.2500
Cd1 0.1250 0.8750 0.2500
Cd2 0.1300 0.5591 0.3293
Cd3 0.1300 0.8007 0.5709
Cd4 0.1993 0.2702 0.3293
Cd5 0.1993 0.8700 0.9291
Cd6 0.2702 0.1993 0.8293
Cd7 0.2702 0.4409 0.0709
Cd8 0.4409 0.2702 0.5709
Cd9 0.4409 0.8700 0.1707
Cd10 0.5591 0.1300 0.8293
Cd11 0.5591 0.7298 0.4291
Cd12 0.7298 0.5591 0.9291
Cd13 0.7298 0.8007 0.1707
Cd14 0.8007 0.1300 0.0709
Cd15 0.8007 0.7298 0.6707
Cd16 0.8700 0.1993 0.4291
Cd17 0.8700 0.4409 0.6707
Cd18 0.8750 0.1250 0.7500
Pt1 0.0000 0.0000 0.0000
Pt2 0.0000 0.0000 0.5000
Pt3 0.0000 0.5000 0.0000
Pt4 0.5000 0.0000 0.5000

[5]
# GGA-PBE LaCdPt2, optimized geometry
# - calculated formation energy (meV per atom) = -495
# - volume (Å³/atom) = 21.34
# - energy (Ry/atom) = -0.3658
data_LaCdPt2
_symmetry_space_group_name_H-M 'P 1'
_symmetry_Int_Tables_number 1
_cell_length_a 6.9894
_cell_length_b 6.9894
_cell_length_c 6.9894
_cell_angle_alpha 90.00
_cell_angle_beta 90.00
_cell_angle_gamma 90.00
loop_
_symmetry_equiv_pos_as_xyz
'x,y,z'
loop_
_atom_site_label
_atom_site_fract_x
_atom_site_fract_y
_atom_site_fract_z
La1 0.0000 0.0000 0.0000
La2 0.0000 0.5000 0.5000
La3 0.5000 0.0000 0.5000
La4 0.5000 0.5000 0.0000
Cd1 0.2500 0.2500 0.7500
Cd2 0.2500 0.7500 0.2500
Cd3 0.7500 0.2500 0.2500
Cd4 0.7500 0.7500 0.7500
Pt1 0.0000 0.0000 0.5000
Pt2 0.0000 0.5000 0.0000
Pt3 0.2500 0.2500 0.2500
Pt4 0.2500 0.7500 0.7500
Pt5 0.5000 0.0000 0.0000
Pt6 0.5000 0.5000 0.5000
Pt7 0.7500 0.2500 0.7500
Pt8 0.7500 0.7500 0.2500

[6]
# GGA-PBE LaCdPt2, optimized geometry
# - calculated formation energy (meV per atom) = -18
# - volume (Å³/atom) = 20.46
# - energy (Ry/atom) = -0.3307
data_LaCdPt2
_symmetry_space_group_name_H-M 'P 1'
_symmetry_Int_Tables_number 1
_cell_length_a 3.0721
_cell_length_b 3.0721
_cell_length_c 30.0444
_cell_angle_alpha 90.00
_cell_angle_beta 90.00
_cell_angle_gamma 120.00
loop_
_symmetry_equiv_pos_as_xyz
'x,y,z'
loop_
_atom_site_label
_atom_site_fract_x
_atom_site_fract_y
_atom_site_fract_z
La1 0.0000 0.0000 0.0000
La2 0.3333 0.6667 0.6667
La3 0.6667 0.3333 0.3333
Cd1 0.0000 0.0000 0.2320
Cd2 0.3333 0.6667 0.8987
Cd3 0.6667 0.3333 0.5653
Pt1 0.0000 0.0000 0.4911
Pt2 0.0000 0.0000 0.7492
Pt3 0.3333 0.6667 0.1577
Pt4 0.3333 0.6667 0.4159
Pt5 0.6667 0.3333 0.0825
Pt6 0.6667 0.3333 0.8244

[7]
# GGA-PBE La3Cd4Pt4, optimized geometry
# - calculated formation energy (meV per atom) = -787
# - volume (Å³/atom) = 23.58
# - energy (Ry/atom) = -0.3425
data_La3Cd4Pt4
_symmetry_space_group_name_H-M 'P 1'
_symmetry_Int_Tables_number 1
_cell_length_a 8.9475
_cell_length_b 8.9475
_cell_length_c 8.9475
_cell_angle_alpha 153.28
_cell_angle_beta 125.79
_cell_angle_gamma 61.44
loop_
_symmetry_equiv_pos_as_xyz
'x,y,z'
loop_
_atom_site_label
_atom_site_fract_x
_atom_site_fract_y
_atom_site_fract_z
La1 0.0000 0.0000 0.0000
La2 0.3825 0.8825 0.5000
La3 0.6175 0.1175 0.5000
Cd1 0.0187 0.3276 0.6911
Cd2 0.3636 0.6724 0.6911
Cd3 0.6364 0.3276 0.3089
Cd4 0.9813 0.6724 0.3089
Pt1 0.2378 0.2378 0.0000
Pt2 0.2961 0.5000 0.7961
Pt3 0.7039 0.5000 0.2039
Pt4 0.7622 0.7622 0.0000

[8]
# GGA-PBE LaCd2Pt2, optimized geometry
# - calculated formation energy (meV per atom) = -473
# - ΔE to the lowest computed polymorph (eV per atom) = 0.240
# - volume (Å³/atom) = 23.49
# - energy (Ry/atom) = -0.3117
data_LaCd2Pt2
_symmetry_space_group_name_H-M 'P 1'
_symmetry_Int_Tables_number 1
_cell_length_a 4.9969
_cell_length_b 4.9969
_cell_length_c 9.4066
_cell_angle_alpha 90.00
_cell_angle_beta 90.00
_cell_angle_gamma 90.00
loop_
_symmetry_equiv_pos_as_xyz
'x,y,z'
loop_
_atom_site_label
_atom_site_fract_x
_atom_site_fract_y
_atom_site_fract_z
La1 0.0000 0.0000 0.0000
La2 0.5000 0.5000 0.5000
Cd1 0.0000 0.0000 0.3574
Cd2 0.0000 0.0000 0.6426
Cd3 0.5000 0.5000 0.1426
Cd4 0.5000 0.5000 0.8574
Pt1 0.0000 0.5000 0.2500
Pt2 0.0000 0.5000 0.7500
Pt3 0.5000 0.0000 0.2500
Pt4 0.5000 0.0000 0.7500

[9]
# GGA-PBE La5Cd4Pt, optimized geometry
# - calculated formation energy (meV per atom) = -484
# - volume (Å³/atom) = 29.19
# - energy (Ry/atom) = -0.2879
data_La5Cd4Pt
_symmetry_space_group_name_H-M 'P 1'
_symmetry_Int_Tables_number 1
_cell_length_a 3.8534
_cell_length_b 3.8534
_cell_length_c 19.6564
_cell_angle_alpha 90.00
_cell_angle_beta 90.00
_cell_angle_gamma 90.00
loop_
_symmetry_equiv_pos_as_xyz
'x,y,z'
loop_
_atom_site_label
_atom_site_fract_x
_atom_site_fract_y
_atom_site_fract_z
La1 0.0000 0.0000 0.0000
La2 0.0000 0.0000 0.2065
La3 0.0000 0.0000 0.4158
La4 0.0000 0.0000 0.5842
La5 0.0000 0.0000 0.7935
Cd1 0.5000 0.5000 0.1031
Cd2 0.5000 0.5000 0.3071
Cd3 0.5000 0.5000 0.6929
Cd4 0.5000 0.5000 0.8969
Pt1 0.5000 0.5000 0.5000

[10]
# GGA-PBE LaCd8Pt4, optimized geometry
# - calculated formation energy (meV per atom) = -380
# - volume (Å³/atom) = 20.50
# - energy (Ry/atom) = -0.2338
data_LaCd8Pt4
_symmetry_space_group_name_H-M 'P 1'
_symmetry_Int_Tables_number 1
_cell_length_a 7.4016
_cell_length_b 7.4016
_cell_length_c 7.4016
_cell_angle_alpha 98.58
_cell_angle_beta 98.58
_cell_angle_gamma 134.55
loop_
_symmetry_equiv_pos_as_xyz
'x,y,z'
loop_
_atom_site_label
_atom_site_fract_x
_atom_site_fract_y
_atom_site_fract_z
La1 0.0000 0.0000 0.0000
Cd1 0.0000 0.3420 0.3420
Cd2 0.0000 0.6580 0.6580
Cd3 0.2817 0.5000 0.7817
Cd4 0.3420 0.0000 0.3420
Cd5 0.5000 0.2817 0.7817
Cd6 0.5000 0.7183 0.2183
Cd7 0.6580 0.0000 0.6580
Cd8 0.7183 0.5000 0.2183
Pt1 0.0000 0.0000 0.5000
Pt2 0.0000 0.5000 0.0000
Pt3 0.5000 0.0000 0.0000
Pt4 0.5000 0.5000 0.5000

[11]
# GGA-PBE LaCd5Pt2, optimized geometry
# - calculated formation energy (meV per atom) = -472
# - volume (Å³/atom) = 22.69
# - energy (Ry/atom) = -0.2330
data_LaCd5Pt2
_symmetry_space_group_name_H-M 'P 1'
_symmetry_Int_Tables_number 1
_cell_length_a 4.1929
_cell_length_b 8.5760
_cell_length_c 10.0951
_cell_angle_alpha 90.00
_cell_angle_beta 90.00
_cell_angle_gamma 90.00
loop_
_symmetry_equiv_pos_as_xyz
'x,y,z'
loop_
_atom_site_label
_atom_site_fract_x
_atom_site_fract_y
_atom_site_fract_z
La1 0.0000 0.0000 0.0000
La2 0.5000 0.5000 0.5000
Cd1 0.0000 0.1846 0.3457
Cd2 0.0000 0.1846 0.6543
Cd3 0.0000 0.5000 0.0000
Cd4 0.0000 0.8154 0.3457
Cd5 0.0000 0.8154 0.6543
Cd6 0.5000 0.0000 0.5000
Cd7 0.5000 0.3154 0.1543
Cd8 0.5000 0.3154 0.8457
Cd9 0.5000 0.6846 0.1543
Cd10 0.5000 0.6846 0.8457
Pt1 0.0000 0.5000 0.2825
Pt2 0.0000 0.5000 0.7175
Pt3 0.5000 0.0000 0.2175
Pt4 0.5000 0.0000 0.7825